(1)
Sr2LaMg2 | PBE-GGA | relaxed

Values from the calculation:
* V: 39.2 Å³/atom
* size of the total moment: 0.0 μB/f.u.
* relative energy among the computed polymorphs: 0 meV per atom
* calculated formation energy: 0.07 eV per atom

a = 9.0786 Å, b = 9.0786 Å, c = 4.7527 Å
α = 90.00°, β = 90.00°, γ = 90.00°
With the nearest neighbours (Å) after each atom.
Space group P4/mbm (No. 127)
Unique sites:
Sr 0.1717 0.3283 0.0000  6 Mg 3.52-3.62
La 0.0000 0.0000 0.5000  4 Mg 3.58
Mg 0.1257 0.6257 0.5000  1 Mg 3.23, 2 Sr 3.52, 2 La 3.58

***

(2)
SrLa2Mg | PBE-GGA | relaxed

Values from the calculation:
* V: 38.1 Å³/atom
* size of the total moment: 0.0 μB/f.u.
* calculated formation energy: 0.12 eV per atom

a = 3.8023 Å, b = 3.8023 Å, c = 36.5345 Å
α = 90.00°, β = 90.00°, γ = 120.00°
With the nearest neighbours (Å) after each atom.
Space group R3m (No. 160, hexagonal axes)
Unique sites:
Sr 0.0000 0.0000 0.0000  6 Sr 3.80, 6 La 4.05-4.08
La 0.0000 0.0000 0.5735  3 Mg 3.45, 6 La 3.80
La 0.0000 0.0000 0.7610  3 Mg 3.45, 6 La 3.80
Mg 0.0000 0.0000 0.1672  6 La 3.45, 6 Mg 3.80

***

Question: Which value of calculated formation energy does entry 2 give?
Answer: 0.12 eV per atom

***

Question: Among the records above, which one has the lowest V?
Answer: SrLa2Mg

***

Question: Look up the calculated formation energy of the first one.
Answer: 0.07 eV per atom